# 1
Material: MgZrTl
Method: DFT, meta-GGA SCAN
State: PBEsol geometry

## Properties
Formation energy = -99 meV per atom
V = 22.0 Å³/atom

abc: 3.259 3.259 12.409
angles: 90.00 90.00 90.00
Space group I4mm (No. 107)
Unique sites:
Mg1 0.000 0.000 0.000 (multiplicity 2)
Zr1 0.000 0.000 0.330 (multiplicity 2)
Tl1 0.000 0.000 0.660 (multiplicity 2)

---

# 2
Material: MgZr2Tl
Method: DFT, meta-GGA SCAN
State: PBEsol geometry

## Properties
Formation energy = -99 meV per atom
V = 22.5 Å³/atom

abc: 3.100 3.100 9.376
angles: 90.00 90.00 90.00
Space group P4mm (No. 99)
Unique sites:
Mg1 0.000 0.000 0.000 (multiplicity 1)
Zr1 0.000 0.000 0.503 (multiplicity 1)
Zr2 0.500 0.500 0.740 (multiplicity 1)
Tl1 0.500 0.500 0.246 (multiplicity 1)